Computed, not measured: crystalline DyHo2Tm2Mg at its relaxed geometry at the PBE-GGA level of DFT.

Cell and atoms, written as POSCAR:
```
DyHo2Tm2Mg
1.0
10.1592 0.0000 0.0000
0.0000 11.6361 0.0000
0.0000 0.0000 3.5868
Dy Ho Tm Mg
2 4 4 2
direct
0.0000 0.0000 0.0000
0.5000 0.5000 0.5000
0.0943 0.2230 0.5000
0.4057 0.7230 0.0000
0.5943 0.2770 0.0000
0.9057 0.7770 0.5000
0.2498 0.4268 0.0000
0.2502 0.9268 0.5000
0.7498 0.0732 0.5000
0.7502 0.5732 0.0000
0.0000 0.5000 0.5000
0.5000 0.0000 0.0000
```

SG = Pnnm
total DFT energy (no corrections) = -3.56 eV/atom